Record 1
GaBiTe | PBE | relaxed

Output
DOS(E_F)	1.13	states/eV/f.u.
excess energy over the best structure of this formula in the dataset	243	meV/atom
density	6.65	Mg/m³
magnetic moment	0.00	μB per formula unit
SG	Cmc2_1 (36)
final energy	-19.878	eV for the cell shown

Geometry as extended XYZ:
```
6
Lattice="2.0340 -8.1200 0.0000 2.0340 8.1200 0.0000 0.0000 0.0000 6.1438" Properties=species:S:1:pos:R:3 pbc="T T T"
Ga 2.0340 5.3063 3.0719
Ga 2.0340 -5.3063 0.0000
Bi 2.0340 2.5935 2.1142
Bi 2.0340 -2.5935 5.1861
Te 2.0340 6.9121 0.9646
Te 2.0340 -6.9121 4.0365
```


Record 2
PrSnPdRh | PBE | relaxed

Output
energy relative to the elements	-0.66	eV/atom
DOS(E_F)	2.66	states/eV/f.u.
density	9.52	Mg/m³
magnetic moment	0.00	μB per formula unit
SG	F-43m (216)
final energy	-23.960	eV for the cell shown

Geometry as extended XYZ:
```
4
Lattice="0.0000 3.4453 3.4453 3.4453 0.0000 3.4453 3.4453 3.4453 0.0000" Properties=species:S:1:pos:R:3 pbc="T T T"
Pr 0.0000 0.0000 0.0000
Sn 3.4453 3.4453 3.4453
Pd 5.1680 5.1680 5.1680
Rh 1.7227 1.7227 1.7227
```


Record 3
BaCoAu2 | PBE | relaxed

Output
energy relative to the elements	0.05	eV/atom
DOS(E_F)	5.25	states/eV/f.u.
excess energy over the best structure of this formula in the dataset	245	meV/atom
density	11.09	Mg/m³
magnetic moment	1.84	μB per formula unit
SG	P4/mmm (123)
final energy	-15.378	eV for the cell shown

Geometry as extended XYZ:
```
4
Lattice="3.4531 0.0000 0.0000 0.0000 3.4531 0.0000 0.0000 0.0000 7.4122" Properties=species:S:1:pos:R:3 pbc="T T T"
Ba 0.0000 0.0000 0.0000
Co 0.0000 0.0000 3.7061
Au 1.7265 1.7265 2.3389
Au 1.7265 1.7265 5.0734
```


Record 4
Pa2Co12AsH3 | PBE | relaxed

Output
DOS(E_F)	18.35	states/eV/f.u.
density	10.16	Mg/m³
magnetic moment	7.61	μB per formula unit
SG	R-3m (166)
final energy	-119.303	eV for the cell shown

Geometry as extended XYZ:
```
18
Lattice="3.2238 1.8613 5.6604 -3.2238 1.8613 5.6604 0.0000 -3.7226 5.6604" Properties=species:S:1:pos:R:3 pbc="T T T"
Pa 0.0000 0.0000 1.7611
Pa 0.0000 0.0000 15.2200
Co -1.8895 -1.0909 7.5616
Co 0.0000 -1.4345 5.8165
Co -1.2423 0.7173 5.8165
Co 0.0000 -2.1818 9.4195
Co -1.8895 1.0909 9.4195
Co -1.2423 -0.7173 11.1646
Co 1.2423 0.7173 5.8165
Co 1.8895 -1.0909 7.5616
Co 0.0000 2.1818 7.5616
Co 1.2423 -0.7173 11.1646
Co 0.0000 1.4345 11.1646
Co 1.8895 1.0909 9.4195
As 0.0000 0.0000 8.4905
H -1.6119 -0.9306 5.6604
H -1.6119 0.9306 11.3207
H 0.0000 1.8613 5.6604
```


Record 5
K2Tl4Pd3 | PBE | relaxed

Output
energy relative to the elements	-0.15	eV/atom
DOS(E_F)	4.80	states/eV/f.u.
density	8.73	Mg/m³
magnetic moment	0.00	μB per formula unit
SG	Cmce (64)
final energy	-57.149	eV for the cell shown

Geometry as extended XYZ:
```
18
Lattice="3.0694 -8.6236 0.0000 3.0694 8.6236 0.0000 0.0000 0.0000 8.7324" Properties=species:S:1:pos:R:3 pbc="T T T"
K 3.0694 6.7955 7.7328
K 3.0694 1.8282 3.3666
K 3.0694 -1.8282 5.3657
K 3.0694 -6.7955 0.9996
Tl 1.5347 1.1442 6.5493
Tl 3.0694 5.2906 4.5094
Tl 3.0694 3.3330 0.1432
Tl 1.5347 -1.1442 2.1831
Tl 4.6041 1.1442 6.5493
Tl 3.0694 -3.3330 8.5892
Tl 3.0694 -5.2906 4.2230
Tl 4.6041 -1.1442 2.1831
Pd 0.0000 0.0000 4.3662
Pd 1.5347 3.9612 6.5493
Pd 1.5347 -3.9612 2.1831
Pd 3.0694 0.0000 0.0000
Pd 4.6041 3.9612 6.5493
Pd 4.6041 -3.9612 2.1831
```


Record 6
LuPa2Ga | PBE | relaxed

Output
energy relative to the elements	0.14	eV/atom
DOS(E_F)	7.45	states/eV/f.u.
density	12.06	Mg/m³
magnetic moment	0.00	μB per formula unit
SG	R-3m (166)
final energy	-25.979	eV for the cell shown

Geometry as extended XYZ:
```
4
Lattice="1.5751 0.9094 11.3200 -1.5751 0.9094 11.3200 0.0000 -1.8188 11.3200" Properties=species:S:1:pos:R:3 pbc="T T T"
Lu 0.0000 0.0000 0.0000
Pa 0.0000 0.0000 3.1138
Pa 0.0000 0.0000 30.8461
Ga 0.0000 0.0000 16.9800
```